[1]
BaZnSi | Alexandria via LeMat-Bulk | GGA-PBE | optimized geometry; total magnetic moment = 0.000 Bohr magnetons per cell; energy relative to the elements, uncorrected = -33 kJ/mol of atoms; space-group type = Pmmm (47); crystal system = orthorhombic; Fermi-level density of states = 3.3 states/eV/cell
1.0
-0.459 -4.303 -0.195
0.928 -0.320 4.884
-7.407 0.724 1.455
Ba Zn Si
2 2 2
Cartesian
-3.933 -1.789 0.630
0.000 0.000 0.000
-4.530 0.328 3.423
-1.950 0.076 2.916
-0.952 -2.196 2.577
-5.987 -1.703 3.566

=====

[2]
Ba2ZnSi | Alexandria via LeMat-Bulk | GGA-PBE | optimized geometry; total magnetic moment = 0.000 Bohr magnetons per cell; energy relative to the elements, uncorrected = 29 kJ/mol of atoms; space-group type = I-42d (122); energy relative to the lowest polymorph listed for this composition = 560 meV/atom; crystal system = tetragonal; Fermi-level density of states = 3.4 states/eV/cell
1.0
6.208 0.000 0.000
0.000 6.208 0.000
3.104 3.104 9.541
Si Zn Ba
2 2 4
Cartesian
3.104 6.208 4.770
3.104 3.104 0.000
0.000 0.000 0.000
6.208 3.104 4.770
7.760 7.651 7.156
1.660 4.656 2.385
4.656 4.764 7.156
4.547 1.552 2.385

=====

[3]
Ba2ZnSi | Alexandria via LeMat-Bulk | GGA-PBE | optimized geometry; total magnetic moment = 0.002 Bohr magnetons per cell; energy relative to the elements, uncorrected = -20 kJ/mol of atoms; space-group type = Cm (8); energy relative to the lowest polymorph listed for this composition = 59 meV/atom; crystal system = monoclinic; Fermi-level density of states = 3.2 states/eV/cell
1.0
6.475 -0.002 0.009
5.120 3.963 0.009
2.235 0.763 4.844
Ba Zn Si
2 1 1
Cartesian
10.663 3.643 3.498
11.398 3.894 0.120
2.817 0.962 1.542
7.462 2.549 2.149